No. 1
This record from OQMD describes an optimized crystal structure of PrMg. The functional is GGA-PBE.

a = 18.107 Å, b = 7.177 Å, c = 5.475 Å
α = 90.00°, β = 90.00°, γ = 90.00°
Atoms (fractional coordinates):
1 Mg 0.326 0.477 0.000
2 Mg 0.832 0.729 0.000
3 Mg 0.619 0.273 0.500
4 Mg 0.332 0.021 0.000
5 Mg 0.826 0.273 0.000
6 Mg 0.119 0.477 0.500
7 Mg 0.775 0.505 0.500
8 Mg 0.169 0.245 0.000
9 Mg 0.612 0.729 0.500
10 Mg 0.112 0.021 0.500
11 Mg 0.669 0.505 0.000
12 Mg 0.275 0.245 0.500
13 Pr 0.282 0.754 0.500
14 Pr 0.005 0.489 0.000
15 Pr 0.940 0.261 0.500
16 Pr 0.663 0.996 0.000
17 Pr 0.782 0.996 0.500
18 Pr 0.505 0.261 0.000
19 Pr 0.454 0.013 0.500
20 Pr 0.954 0.737 0.500
21 Pr 0.163 0.754 0.000
22 Pr 0.991 0.013 0.000
23 Pr 0.491 0.737 0.000
24 Pr 0.440 0.489 0.500

Properties
total energy	-3.1539	eV/atom
theoretical density	4.63	g/cm3
space-group type	No. 57
size of the total moment	0.0016	μB per atom

No. 2
This record from OQMD describes an optimized crystal structure of Ga2HgS4. The functional is GGA-PBE.

a = 6.535 Å, b = 6.535 Å, c = 5.611 Å
α = 115.40°, β = 115.40°, γ = 105.17°
Atoms (fractional coordinates):
1 S 0.592 0.866 0.457
2 S 0.409 0.135 0.002
3 S 0.865 0.591 0.998
4 S 0.134 0.408 0.543
5 Ga 0.500 0.500 0.000
6 Ga 0.750 0.250 0.500
7 Hg 0.000 0.000 0.000

Properties
total energy	-3.8104	eV/atom
theoretical density	4.75	g/cm3
space-group type	No. 5

No. 3
This record from OQMD describes an optimized crystal structure of DyHoCd4. The functional is GGA-PBE.

a = 3.393 Å, b = 4.944 Å, c = 8.565 Å
α = 90.00°, β = 90.02°, γ = 90.00°
Atoms (fractional coordinates):
1 Cd 0.505 0.000 0.333
2 Cd 0.495 0.000 0.667
3 Cd 0.505 0.500 0.833
4 Cd 0.495 0.500 0.167
5 Ho 0.000 0.500 0.500
6 Dy 0.000 0.000 0.000

Properties
total energy	-2.4485	eV/atom
theoretical density	8.98	g/cm3
space-group type	No. 10
size of the total moment	0.0021	μB per atom

No. 4
This record from OQMD describes an optimized crystal structure of PrNdFe2Ge2C. The functional is GGA-PBE.

a = 5.849 Å, b = 5.849 Å, c = 7.076 Å
α = 125.84°, β = 125.84°, γ = 40.81°
Atoms (fractional coordinates):
1 Ge 0.826 0.826 0.269
2 Ge 0.174 0.174 0.730
3 Fe 0.809 0.809 0.917
4 Fe 0.192 0.192 0.084
5 C 0.001 0.001 0.002
6 Nd 0.557 0.557 0.293
7 Pr 0.442 0.442 0.705

Properties
total energy	-6.9217	eV/atom
theoretical density	7.45	g/cm3
space-group type	No. 8
size of the total moment	0.0025	μB per atom